Ac3Ho3ScTe8, optimized geometry, DFT PBE-GGA; raw formation energy = -1380 meV/atom; E_tot = -5.215 eV per atom
1.0
4.4370 2.5617 7.5652
-4.4370 2.5617 7.5652
0.0000 -5.1234 7.5652
Ac Ho Sc Te
3 3 1 8
Direct
0.0000 0.5000 0.5000 Ac
0.5000 0.0000 0.5000 Ac
0.5000 0.5000 0.0000 Ac
0.0000 0.0000 0.5000 Ho
0.0000 0.5000 0.0000 Ho
0.5000 0.0000 0.0000 Ho
0.5000 0.5000 0.5000 Sc
0.2408 0.2408 0.2408 Te
0.2421 0.7403 0.7403 Te
0.2597 0.2597 0.7579 Te
0.2597 0.7579 0.2597 Te
0.7403 0.2421 0.7403 Te
0.7403 0.7403 0.2421 Te
0.7579 0.2597 0.2597 Te
0.7592 0.7592 0.7592 Te